[1]
Entry from Alexandria via LeMat-Bulk: a relaxed Ba2Ni crystal (PBE).

Cell lengths 4.3603, 7.4806, 8.4932 Å; angles 80.56, 75.26, 89.97 degrees
With the nearest neighbours (Å) after each atom.
Fractional coordinates of all 6 atoms:
Ba1 0.0967 0.2902 0.3106  3 Ni 3.07-3.32
Ba2 0.3373 0.2161 0.8241  3 Ni 3.11-3.28
Ba3 0.6627 0.7839 0.1759  3 Ni 3.11-3.28
Ba4 0.9033 0.7098 0.6894  3 Ni 3.07-3.32
Ni1 0.2569 0.5629 0.9864  2 Ni 2.37
Ni2 0.7431 0.4371 0.0136  2 Ni 2.37

Computed properties:
spin magnetization: 0.00 Bohr magnetons per cell
formation enthalpy at 0 K: 0.0 kJ per mole of atoms
calculated total energy: -19.26 eV for the cell shown

[2]
Entry from Alexandria via LeMat-Bulk: a relaxed PmNdTe3 crystal (PBE).

Cell lengths 9.1065, 9.1065, 9.8770 Å; angles 119.04, 119.04, 30.13 degrees
With the nearest neighbours (Å) after each atom.
Fractional coordinates of all 10 atoms:
Pm1 0.1146 0.1146 0.2719  6 Te 3.07-3.29
Pm2 0.8854 0.8854 0.7281  6 Te 3.07-3.29
Nd1 0.3426 0.3426 0.2371  7 Te 3.15-3.38
Nd2 0.6574 0.6574 0.7629  7 Te 3.15-3.38
Te1 0.1273 0.1273 0.9603  1 Pm 3.20, 3 Nd 3.27-3.38
Te2 0.2390 0.2390 0.6516  2 Nd 3.23, 3 Pm 3.26-3.29
Te3 0.4517 0.4517 0.6181  2 Pm 3.07, 2 Nd 3.15-3.25
Te4 0.5483 0.5483 0.3819  2 Pm 3.07, 2 Nd 3.15-3.25
Te5 0.7610 0.7610 0.3484  2 Nd 3.23, 3 Pm 3.26-3.29
Te6 0.8727 0.8727 0.0397  1 Pm 3.20, 3 Nd 3.27-3.38

Computed properties:
formation energy without anion corrections: -1.37 eV per atom
spin magnetization: 0.00 Bohr magnetons per cell
ΔE to the lowest computed polymorph: 1.41 kJ/mol of atoms
calculated total energy: -51.62 eV for the cell shown

[3]
Entry from Alexandria via LeMat-Bulk: a relaxed Tb5Sm2HoMg crystal (PBE).

Cell lengths 10.4141, 10.4141, 10.5393 Å; angles 90.00, 90.00, 149.71 degrees
With the nearest neighbours (Å) after each atom.
Fractional coordinates of all 18 atoms:
Tb1 0.9996 0.0004 0.0000  2 Mg 3.25-3.26, 2 Tb 3.54, 4 Sm 3.59-3.60
Tb2 0.0004 0.9996 0.5000  2 Mg 3.25-3.26, 2 Tb 3.54, 4 Sm 3.59-3.60
Tb3 0.1178 0.8822 0.7507  4 Sm 3.51, 6 Tb 3.54-3.80, 1 Ho 3.56
Tb4 0.2103 0.7897 0.4495  1 Mg 3.13, 2 Tb 3.33, 2 Ho 3.44, 2 Sm 3.46
Tb5 0.2110 0.7890 0.0516  1 Mg 3.12, 2 Tb 3.33, 2 Ho 3.44, 2 Sm 3.47
Tb6 0.4856 0.5144 0.7507  2 Mg 3.17, 2 Sm 3.42
Tb7 0.5144 0.4856 0.2507  2 Mg 3.17, 2 Sm 3.42
Tb8 0.7890 0.2110 0.5516  1 Mg 3.12, 2 Tb 3.33, 2 Ho 3.44, 2 Sm 3.47
Tb9 0.7897 0.2103 0.9495  1 Mg 3.13, 2 Tb 3.33, 2 Ho 3.44, 2 Sm 3.46
Tb10 0.8822 0.1178 0.2507  4 Sm 3.51, 6 Tb 3.54-3.80, 1 Ho 3.56
Sm1 0.3851 0.6149 0.0398  9 Tb 3.42-3.66, 1 Ho 3.55
Sm2 0.3850 0.6150 0.4617  9 Tb 3.42-3.66, 1 Ho 3.54
Sm3 0.6149 0.3851 0.5398  9 Tb 3.42-3.66, 1 Ho 3.55
Sm4 0.6150 0.3850 0.9617  9 Tb 3.42-3.66, 1 Ho 3.54
Ho1 0.2947 0.7053 0.7507  8 Tb 3.44-3.84, 2 Mg 3.51, 2 Sm 3.54-3.55
Ho2 0.7053 0.2947 0.2507  8 Tb 3.44-3.84, 2 Mg 3.51, 2 Sm 3.54-3.55
Mg1 0.0952 0.9048 0.2490  6 Tb 3.12-3.26
Mg2 0.9048 0.0952 0.7490  6 Tb 3.12-3.26

Computed properties:
spin magnetization: 0.00 Bohr magnetons per cell
formation enthalpy at 0 K: 9.4 kJ per mole of atoms
calculated total energy: -75.78 eV for the cell shown

[4]
Entry from Alexandria via LeMat-Bulk: a relaxed HgGe3Cl crystal (PBE).

Cell lengths 5.0262, 5.0262, 5.0262 Å; angles 90.00, 90.00, 90.00 degrees
With the nearest neighbours (Å) after each atom.
Fractional coordinates of all 5 atoms:
Hg1 0.0000 0.0000 0.0000  12 Ge 3.55
Ge1 0.0000 0.5000 0.5000  2 Cl 2.51
Ge2 0.5000 0.0000 0.5000  2 Cl 2.51
Ge3 0.5000 0.5000 0.0000  2 Cl 2.51
Cl1 0.5000 0.5000 0.5000  6 Ge 2.51

Computed properties:
formation energy without anion corrections: 0.72 eV per atom
spin magnetization: 0.00 Bohr magnetons per cell
ΔE to the lowest computed polymorph: 0.00 kJ/mol of atoms
calculated total energy: -12.41 eV for the cell shown

[5]
Entry from Alexandria via LeMat-Bulk: a relaxed Zr9Ni11 crystal (PBE).

Cell lengths 7.7837, 7.7837, 7.7837 Å; angles 100.01, 100.01, 130.73 degrees
With the nearest neighbours (Å) after each atom.
Fractional coordinates of all 20 atoms:
Zr1 0.0000 0.0000 0.0000  8 Ni 2.87
Zr2 0.0906 0.6885 0.7791  8 Ni 2.63-2.75
Zr3 0.2479 0.4151 0.6630  7 Ni 2.66-2.81
Zr4 0.3115 0.0906 0.4021  8 Ni 2.63-2.75
Zr5 0.4151 0.7521 0.1671  7 Ni 2.66-2.81
Zr6 0.5849 0.2479 0.8329  7 Ni 2.66-2.81
Zr7 0.6885 0.9094 0.5979  8 Ni 2.63-2.75
Zr8 0.7521 0.5849 0.3370  7 Ni 2.66-2.81
Zr9 0.9094 0.3115 0.2209  8 Ni 2.63-2.75
Ni1 0.0188 0.6757 0.1051  7 Zr 2.63-2.87, 2 Ni 2.66-2.73
Ni2 0.0862 0.9812 0.6569  7 Zr 2.63-2.87, 2 Ni 2.66-2.73
Ni3 0.2500 0.7500 0.5000  4 Zr 2.65
Ni4 0.3243 0.4293 0.3431  7 Zr 2.63-2.87, 2 Ni 2.66-2.73
Ni5 0.4293 0.0862 0.1051  7 Zr 2.63-2.87, 2 Ni 2.66-2.73
Ni6 0.5000 0.5000 0.0000  4 Zr 2.66
Ni7 0.5707 0.9138 0.8949  7 Zr 2.63-2.87, 2 Ni 2.66-2.73
Ni8 0.6757 0.5707 0.6569  7 Zr 2.63-2.87, 2 Ni 2.66-2.73
Ni9 0.7500 0.2500 0.5000  4 Zr 2.65
Ni10 0.9138 0.0188 0.3431  7 Zr 2.63-2.87, 2 Ni 2.66-2.73
Ni11 0.9812 0.3243 0.8949  7 Zr 2.63-2.87, 2 Ni 2.66-2.73

Computed properties:
spin magnetization: 0.00 Bohr magnetons per cell
formation enthalpy at 0 K: -36.4 kJ per mole of atoms
calculated total energy: -148.08 eV for the cell shown

[6]
Entry from Alexandria via LeMat-Bulk: a relaxed SmEr6Tm3 crystal (PBE).

Cell lengths 6.8095, 6.8095, 6.8095 Å; angles 90.55, 90.55, 90.55 degrees
With the nearest neighbours (Å) after each atom.
Fractional coordinates of all 10 atoms:
Sm1 0.0000 0.0000 0.0000  2 Tm 2.86-3.03
Er1 0.1583 0.8265 0.4857  3 Tm 3.24-3.41
Er2 0.3303 0.6567 0.9864  1 Sm 3.26, 3 Tm 3.33-3.65
Er3 0.4857 0.1583 0.8265  3 Tm 3.24-3.41
Er4 0.6567 0.9864 0.3303  1 Sm 3.26, 3 Tm 3.33-3.65
Er5 0.8265 0.4857 0.1583  3 Tm 3.24-3.41
Er6 0.9864 0.3303 0.6567  1 Sm 3.26, 3 Tm 3.33-3.65
Tm1 0.2592 0.2592 0.2592  1 Tm 2.85, 1 Sm 3.03
Tm2 0.5032 0.5032 0.5032  2 Tm 2.85-2.94
Tm3 0.7548 0.7548 0.7548  1 Sm 2.86, 1 Tm 2.94

Computed properties:
spin magnetization: 0.01 Bohr magnetons per cell
ΔE to the lowest computed polymorph: 12.67 kJ/mol of atoms
formation enthalpy at 0 K: 27.1 kJ per mole of atoms
calculated total energy: -42.70 eV for the cell shown

[7]
Entry from Alexandria via LeMat-Bulk: a relaxed KNaRu2 crystal (PBE).

Cell lengths 4.9558, 4.9558, 4.9558 Å; angles 60.00, 60.00, 60.00 degrees
With the nearest neighbours (Å) after each atom.
Fractional coordinates of all 4 atoms:
K1 0.0000 0.0000 0.0000  8 Ru 3.03
Na1 0.5000 0.5000 0.5000  8 Ru 3.03
Ru1 0.2500 0.2500 0.2500  4 Na 3.03, 4 K 3.03
Ru2 0.7500 0.7500 0.7500  4 K 3.03, 4 Na 3.03

Computed properties:
spin magnetization: 3.93 Bohr magnetons per cell
ΔE to the lowest computed polymorph: 48.85 kJ/mol of atoms
formation enthalpy at 0 K: 169.7 kJ per mole of atoms
calculated total energy: -13.93 eV for the cell shown

[8]
Entry from Alexandria via LeMat-Bulk: a relaxed Pr2SmY3Bi6 crystal (PBE).

Cell lengths 7.8867, 7.8867, 7.8686 Å; angles 99.61, 99.61, 120.01 degrees
With the nearest neighbours (Å) after each atom.
Fractional coordinates of all 12 atoms:
Pr1 0.1661 0.8339 0.0000  6 Bi 3.26
Pr2 0.8339 0.1661 0.0000  6 Bi 3.26
Sm1 0.5000 0.5000 0.0000  6 Bi 3.23-3.24
Y1 0.0000 0.0000 0.5000  6 Bi 3.18-3.20
Y2 0.3319 0.6681 0.5000  6 Bi 3.17-3.19
Y3 0.6681 0.3319 0.5000  6 Bi 3.17-3.19
Bi1 0.0838 0.4143 0.7422  3 Y 3.17-3.19, 1 Sm 3.23, 2 Pr 3.26
Bi2 0.2563 0.2563 0.2593  3 Y 3.18-3.20, 1 Sm 3.24, 2 Pr 3.26
Bi3 0.4143 0.0838 0.7422  3 Y 3.17-3.19, 1 Sm 3.23, 2 Pr 3.26
Bi4 0.5857 0.9162 0.2578  3 Y 3.17-3.19, 1 Sm 3.23, 2 Pr 3.26
Bi5 0.7437 0.7437 0.7407  3 Y 3.18-3.20, 1 Sm 3.24, 2 Pr 3.26
Bi6 0.9162 0.5857 0.2578  3 Y 3.17-3.19, 1 Sm 3.23, 2 Pr 3.26

Computed properties:
spin magnetization: 0.00 Bohr magnetons per cell
formation enthalpy at 0 K: -88.8 kJ per mole of atoms
calculated total energy: -68.00 eV for the cell shown

Calculated ρ in order - 4.193; 6.279; 7.400; 5.937; 7.498; 8.735; 5.098; 8.117 Mg/m³